Record 1
## PtBr2Cl (PBE)

Data for a geometry-optimized PtBr2Cl structure.

Computed properties:
- electronic total energy (eV/atom) = -2.7631
- M_tot (μB/cell) = 0.890
- energy above the lowest structure with this stoichiometry (meV per atom) = 280
- energy relative to the elements, uncorrected (eV per atom) = 0.0452

Cell and atoms, written as POSCAR:
```
PtBr2Cl
1.0
6.132 -0.450 0.176
0.584 6.121 -0.176
-1.642 -4.868 3.383
Br Pt Cl
2 1 1
direct
0.062 0.062 0.000 Br
0.438 0.438 0.000 Br
0.250 0.750 0.500 Pt
0.750 0.250 0.500 Cl
```

Record 2
## Pt2BrCl (PBE)

Data for a geometry-optimized Pt2BrCl structure.

Computed properties:
- electronic total energy (eV/atom) = -3.4330
- M_tot (μB/cell) = 0.000
- energy above the lowest structure with this stoichiometry (meV per atom) = 685
- energy relative to the elements, uncorrected (eV per atom) = 0.4673

Cell and atoms, written as POSCAR:
```
Pt2BrCl
1.0
-0.595 -0.368 3.688
-3.103 -3.594 -0.860
3.748 -3.181 0.288
Br Pt Cl
1 2 1
direct
0.500 0.250 0.250 Br
0.000 0.047 0.938 Pt
0.000 0.453 0.562 Pt
0.500 0.750 0.750 Cl
```

Record 3
## PtBr2Cl (PBE)

Data for a geometry-optimized PtBr2Cl structure.

Computed properties:
- electronic total energy (eV/atom) = -2.2034
- M_tot (μB/cell) = 0.148
- energy above the lowest structure with this stoichiometry (meV per atom) = 839
- energy relative to the elements, uncorrected (eV per atom) = 0.6049

Cell and atoms, written as POSCAR:
```
PtBr2Cl
1.0
-0.730 1.351 7.877
-1.502 -3.442 0.451
3.454 -1.433 0.566
Br Pt Cl
2 1 1
direct
0.000 0.000 0.000 Br
0.000 0.500 0.500 Br
0.500 0.000 0.500 Pt
0.500 0.500 0.000 Cl
```

Record 4
## PtBr2Cl (PBE)

Data for a geometry-optimized PtBr2Cl structure.

Computed properties:
- electronic total energy (eV/atom) = -2.7482
- M_tot (μB/cell) = 0.767
- energy above the lowest structure with this stoichiometry (meV per atom) = 295
- energy relative to the elements, uncorrected (eV per atom) = 0.0601

Cell and atoms, written as POSCAR:
```
PtBr2Cl
1.0
-3.775 -0.576 -2.884
2.789 -2.894 2.597
-5.241 0.938 6.673
Br Pt Cl
2 1 1
direct
0.000 0.000 0.943 Br
0.000 0.000 0.557 Br
0.500 0.500 0.750 Pt
0.500 0.500 0.250 Cl
```

Record 5
## PtBr2Cl (PBE)

Data for a geometry-optimized PtBr2Cl structure.

Computed properties:
- electronic total energy (eV/atom) = -3.0258
- M_tot (μB/cell) = 0.000
- energy above the lowest structure with this stoichiometry (meV per atom) = 17
- energy relative to the elements, uncorrected (eV per atom) = -0.2175

Cell and atoms, written as POSCAR:
```
PtBr2Cl
1.0
3.624 0.000 0.000
0.000 6.534 0.214
0.000 4.116 5.075
Br Pt Cl
2 1 1
direct
0.000 0.890 0.890 Br
0.500 0.245 0.245 Br
0.500 0.748 0.748 Pt
0.000 0.617 0.617 Cl
```

Record 6
## PtBrCl3 (PBE)

Data for a geometry-optimized PtBrCl3 structure.

Computed properties:
- electronic total energy (eV/atom) = -2.9476
- M_tot (μB/cell) = 0.000
- energy above the lowest structure with this stoichiometry (meV per atom) = 43
- energy relative to the elements, uncorrected (eV per atom) = -0.2969

Cell and atoms, written as POSCAR:
```
PtBrCl3
1.0
8.081 1.856 -0.625
5.697 7.810 0.082
3.000 -1.124 5.684
Pt Br Cl
2 2 6
direct
0.184 0.848 0.705 Pt
0.438 0.366 0.834 Pt
0.965 0.488 0.446 Br
0.558 0.701 0.786 Br
0.293 0.936 0.384 Cl
0.089 0.721 0.014 Cl
0.411 0.242 0.155 Cl
0.948 0.161 0.919 Cl
0.446 0.504 0.511 Cl
0.801 0.016 0.642 Cl
```

What is the energy relative to the elements, uncorrected in the second record?
0.4673 eV per atom